Ca2InSiAu6 after structural relaxation. Source: the Alexandria database, functional GGA-PBE.

E_form (uncorrected) = -436 meV/atom
Space-group type = Pmmn

The structure in POSCAR format:
```
Ca2InSiAu6
1.0
5.806 0.000 0.000
0.000 8.915 0.000
0.000 0.000 8.989
Ca In Si Au
4 2 2 12
Direct
0.250 0.001 0.241
0.250 0.499 0.241
0.750 0.501 0.759
0.750 0.999 0.759
0.250 0.250 0.788
0.750 0.750 0.212
0.250 0.750 0.739
0.750 0.250 0.261
0.001 0.250 0.512
0.001 0.750 0.957
0.250 0.506 0.614
0.250 0.994 0.614
0.499 0.250 0.512
0.499 0.750 0.957
0.501 0.250 0.043
0.501 0.750 0.488
0.750 0.006 0.386
0.750 0.494 0.386
0.999 0.250 0.043
0.999 0.750 0.488
```

Pm6Pr5Er after structural relaxation. Source: the Alexandria database, functional GGA-PBE.

Formation energy from the elements = 0.0141 eV per atom
Space-group type = C2/m

The structure in POSCAR format:
```
Pm6Pr5Er
1.0
3.175 -5.497 0.000
3.175 5.497 0.000
-2.127 0.000 11.982
Pm Pr Er
6 5 1
Direct
0.083 0.414 0.748
0.249 0.249 0.252
0.414 0.083 0.748
0.586 0.917 0.252
0.751 0.751 0.748
0.917 0.586 0.252
0.166 0.834 0.000
0.333 0.667 0.500
0.500 0.500 0.000
0.667 0.333 0.500
0.834 0.166 0.000
0.000 0.000 0.500
```

ScAlTl2 after structural relaxation. Source: the Alexandria database, functional GGA-PBE.

Distance to the lowest polymorph of the same formula = 0.12 eV per formula unit
Formation energy from the elements = -0.0558 eV per atom
Space-group type = I-4m2

The structure in POSCAR format:
```
ScAlTl2
1.0
-2.166 2.166 4.874
2.166 -2.166 4.874
2.166 2.166 -4.874
Sc Al Tl
1 1 2
Direct
0.000 0.000 0.000
0.250 0.750 0.500
0.500 0.500 0.000
0.750 0.250 0.500
```

U2PbSe6 after structural relaxation. Source: the Alexandria database, functional GGA-PBE.

Distance to the lowest polymorph of the same formula = 0.00 eV per formula unit
E_form (uncorrected) = -763 meV/atom
Space-group type = C2/m

The structure in POSCAR format:
```
U2PbSe6
1.0
3.398 -4.612 0.000
3.398 4.612 0.000
-1.062 0.000 7.454
U Pb Se
2 1 6
Direct
0.248 0.752 0.000
0.752 0.248 0.000
0.000 0.000 0.500
0.133 0.470 0.287
0.231 0.231 0.881
0.470 0.133 0.287
0.530 0.867 0.713
0.769 0.769 0.119
0.867 0.530 0.713
```

| no. | electronic total energy (eV per cell) |
| --- | --- |
| 1 | -72.4 |
| 2 | -56.8 |
| 3 | -15.0 |
| 4 | -54.1 |